1:
DFT (PBE-GGA) results for crystalline Y3Al3SiIr2 at its relaxed geometry.

Cell: 7.2526 7.2526 3.9023 Å, 90.00 90.00 120.00°
Closest atoms and distances in Å follow each position.
Fractional coordinates of all 9 atoms:
1 Y 0.5964 0.0000 0.5000  1 Si 2.93, 4 Ir 2.95, 6 Al 3.10-3.23
2 Y 0.4036 0.4036 0.5000  1 Si 2.93, 4 Ir 2.95, 6 Al 3.10-3.23
3 Y 0.0000 0.5964 0.5000  1 Si 2.93, 4 Ir 2.95, 6 Al 3.10-3.23
4 Ir 0.3333 0.6667 0.0000  3 Al 2.71, 6 Y 2.95
5 Ir 0.6667 0.3333 0.0000  3 Al 2.71, 6 Y 2.95
6 Al 0.0000 0.2635 0.0000  2 Ir 2.71, 2 Si 2.73
7 Al 0.7365 0.7365 0.0000  2 Ir 2.71, 2 Si 2.73
8 Al 0.2635 0.0000 0.0000  2 Ir 2.71, 2 Si 2.73
9 Si 0.0000 0.0000 0.5000  6 Al 2.73, 3 Y 2.93

Output
Space group = P-62m, No. 189
Magnetization = 0.00 μB/f.u.

---

2:
DFT (PBE-GGA) results for crystalline Y3Al3SiIr2 at its relaxed geometry.

Cell: 7.9731 7.9731 3.1657 Å, 90.00 90.00 120.00°
Closest atoms and distances in Å follow each position.
Fractional coordinates of all 9 atoms:
1 Si 0.0000 0.0000 0.5000  6 Y 2.79, 3 Al 3.07
2 Ir 0.3333 0.6667 0.0000  3 Y 2.86, 6 Al 2.94, 2 Ir 3.17
3 Ir 0.6667 0.3333 0.0000  3 Y 2.86, 6 Al 2.94, 2 Ir 3.17
4 Y 0.0000 0.7122 0.0000  2 Si 2.79, 2 Ir 2.86, 2 Al 3.05
5 Y 0.2878 0.2878 0.0000  2 Si 2.79, 2 Ir 2.86, 2 Al 3.05
6 Y 0.7122 0.0000 0.0000  2 Si 2.79, 2 Ir 2.86, 2 Al 3.05
7 Al 0.0000 0.3854 0.5000  4 Ir 2.94, 6 Y 3.05-3.19, 1 Si 3.07, 2 Al 3.17
8 Al 0.3854 0.0000 0.5000  4 Ir 2.94, 6 Y 3.05-3.19, 1 Si 3.07, 2 Al 3.17
9 Al 0.6146 0.6146 0.5000  4 Ir 2.94, 6 Y 3.05-3.19, 1 Si 3.07, 2 Al 3.17

Output
Space group = P-62m, No. 189
Magnetization = 0.02 μB/f.u.

---

Relative energies, kJ/mol of atoms: 1 0.0; 2 39.2.

---

1:
DFT (PBE-GGA) results for crystalline Y3Al3SnIr2 at its relaxed geometry.

Cell: 7.3817 7.3817 4.0243 Å, 90.00 90.00 120.00°
Closest atoms and distances in Å follow each position.
Fractional coordinates of all 9 atoms:
1 Al 0.2857 0.2857 0.5000  2 Ir 2.65, 2 Sn 2.91
2 Al 0.7143 0.0000 0.5000  2 Ir 2.65, 2 Sn 2.91
3 Al 0.0000 0.7143 0.5000  2 Ir 2.65, 2 Sn 2.91
4 Y 0.4099 0.0000 0.0000  4 Ir 3.01, 6 Al 3.02-3.36, 1 Sn 3.03
5 Y 0.0000 0.4099 0.0000  4 Ir 3.01, 6 Al 3.02-3.36, 1 Sn 3.03
6 Y 0.5901 0.5901 0.0000  4 Ir 3.01, 6 Al 3.02-3.36, 1 Sn 3.03
7 Sn 0.0000 0.0000 0.0000  6 Al 2.91, 3 Y 3.03
8 Ir 0.6667 0.3333 0.5000  3 Al 2.65
9 Ir 0.3333 0.6667 0.5000  3 Al 2.65

Output
Space group = P-62m, No. 189
Magnetization = 0.00 μB/f.u.

---

2:
DFT (PBE-GGA) results for crystalline Y3Al3SnIr2 at its relaxed geometry.

Cell: 8.1770 8.1770 3.2292 Å, 90.00 90.00 120.00°
Closest atoms and distances in Å follow each position.
Fractional coordinates of all 9 atoms:
1 Ir 0.6667 0.3333 0.5000  3 Y 2.82, 6 Al 3.04
2 Ir 0.3333 0.6667 0.5000  3 Y 2.82, 6 Al 3.04
3 Y 0.0000 0.6883 0.5000  2 Ir 2.82, 2 Sn 3.02, 2 Al 3.02
4 Y 0.3117 0.3117 0.5000  2 Ir 2.82, 2 Sn 3.02, 2 Al 3.02
5 Y 0.6883 0.0000 0.5000  2 Ir 2.82, 2 Sn 3.02, 2 Al 3.02
6 Al 0.3755 0.0000 0.0000  6 Y 3.02-3.27, 4 Ir 3.04, 1 Sn 3.07, 2 Al 3.23
7 Al 0.0000 0.3755 0.0000  6 Y 3.02-3.27, 4 Ir 3.04, 1 Sn 3.07, 2 Al 3.23
8 Al 0.6245 0.6245 0.0000  6 Y 3.02-3.27, 4 Ir 3.04, 1 Sn 3.07, 2 Al 3.23
9 Sn 0.0000 0.0000 0.0000  6 Y 3.02, 3 Al 3.07, 2 Sn 3.23

Output
Space group = P-62m, No. 189
Magnetization = 0.02 μB/f.u.

---

Relative energies, kJ/mol of atoms: 1 0.0; 2 42.7.